Compound: Tb5PmY2
Source: Alexandria
Functional: PBE
Structure: relaxed

Results
E above lowest polymorph = 4 kJ/mol of formula units
DFT formation energy = 16 meV per atom

The structure in extended XYZ format:
```
16
Lattice="-4.1873 1.1435 -2.5740 -3.9740 -3.0577 5.1064 -0.8050 12.5282 6.8755" Properties=species:S:1:pos:R:3 pbc="T T T"
Tb -5.1805 -0.1526 3.4129
Tb -2.3895 4.7352 5.9909
Tb -3.3939 4.4943 2.5709
Tb -5.5724 6.1196 6.8370
Tb -0.2052 3.1205 1.7201
Tb 0.0000 0.0000 0.0000
Tb -2.5858 7.8626 7.6997
Tb -3.7858 10.7666 5.9950
Tb -4.5738 6.3499 10.2618
Tb -2.1932 1.6079 4.2822
Y -5.7759 9.2367 8.5528
Y -3.5884 7.6448 4.2870
Y -3.1904 1.3772 0.8551
Y -5.3779 2.9691 5.1210
Pm -1.9870 -1.5289 2.5532
Pm -0.4025 6.2641 3.4377
```

Compound: Li2TaTc
Source: Alexandria
Functional: PBE
Structure: relaxed

Results
E above lowest polymorph = 77 kJ/mol of formula units
DFT formation energy = 340 meV per atom

The structure in extended XYZ format:
```
4
Lattice="-2.2246 0.5472 -4.0482 0.5355 -4.0218 -2.2747 -1.7602 1.2705 4.1138" Properties=species:S:1:pos:R:3 pbc="T T T"
Ta -0.8593 -1.7675 -3.2165
Li -1.6554 -3.4053 -6.1968
Li -2.4589 -0.0508 -1.7135
Tc -1.0094 -2.1923 -0.5666
```

Compound: TlFeTe2
Source: Alexandria
Functional: PBE
Structure: relaxed

Results
Raw formation energy = 0.0955 eV/atom

The structure in extended XYZ format:
```
4
Lattice="3.7816 0.0000 0.0000 0.0000 4.5664 0.0436 0.0000 1.4500 7.3871" Properties=species:S:1:pos:R:3 pbc="T T T"
Te 0.0000 3.8165 3.9469
Te 0.0000 5.2082 7.1991
Fe 1.8908 4.5124 5.5730
Tl 1.8908 1.5041 1.8577
```

Compound: ThScAg2
Source: Alexandria
Functional: PBE
Structure: relaxed

Results
E above lowest polymorph = 0 kJ/mol of formula units
DFT formation energy = -166 meV per atom

The structure in extended XYZ format:
```
4
Lattice="3.4467 0.0000 0.0000 0.0000 3.4467 0.0000 0.0000 0.0000 7.7324" Properties=species:S:1:pos:R:3 pbc="T T T"
Ag 0.0000 0.0000 1.6249
Ag 0.0000 0.0000 6.1075
Th 1.7234 1.7234 3.8662
Sc 1.7234 1.7234 0.0000
```